This record from Alexandria describes a relaxed structure of CsSmO2. The functional is PBE.

Cell: 3.653 3.653 13.831 Å, 90.00 90.00 120.00°
Fractional positions:
1 Cs 0.333 0.667 0.250
2 Cs 0.667 0.333 0.750
3 Sm 0.000 0.000 0.000
4 Sm 0.000 0.000 0.500
5 O 0.333 0.667 0.584
6 O 0.333 0.667 0.916
7 O 0.667 0.333 0.084
8 O 0.667 0.333 0.416

Results
The uncorrected formation energy comes out at -246 kJ/mol of atoms.